Density functional theory data (PBE-GGA) for a geometry-optimized HoAgHgAu structure.

Energy of formation from the pure elements = -0.445 eV per atom
Total magnetic moment = 0.00 Bohr magnetons per cell
Calculated density = 13.084 g cm⁻³

a b c (Å): 4.937 4.937 4.937
angles (deg): 60.00 60.00 60.00
Fractional positions:
Ho 0.000 0.000 0.000
Ag 0.500 0.500 0.500
Hg 0.750 0.750 0.750
Au 0.250 0.250 0.250

Density functional theory data (PBE-GGA) for a geometry-optimized NbTcBr2 structure.

ΔE_f (raw) = 1.011 eV/atom
Total magnetic moment = 2.10 Bohr magnetons per cell
Calculated density = 6.054 g cm⁻³

a b c (Å): 7.059 7.059 7.059
angles (deg): 131.65 131.65 70.78
Fractional positions:
Nb 0.000 0.000 0.000
Nb 0.750 0.250 0.500
Tc 0.250 0.750 0.500
Tc 0.500 0.500 0.000
Br 0.141 0.625 0.016
Br 0.375 0.391 0.516
Br 0.609 0.125 0.984
Br 0.875 0.859 0.484

Energy above the most stable polymorph in this dataset? In order: 0.008 0.547 eV/atom.